Entry 1:
Density functional theory data (GGA-PBE) for crystalline Tb6BiTe3Se2 at its relaxed geometry.

Values from the calculation:
**Formation energy (no corrections)**: -1397 meV per atom
**Total energy**: -0.3970 Ry per atom

Structure (CIF):
```
data_Tb6BiTe3Se2
_chemical_formula_sum 'Tb6 Bi1 Te3 Se2'
_space_group_name_H-M_alt 'P 1'
_space_group_IT_number 1
_cell_length_a 7.411
_cell_length_b 7.411
_cell_length_c 7.542
_cell_angle_alpha 99.47
_cell_angle_beta 99.47
_cell_angle_gamma 120.01
loop_
_space_group_symop_operation_xyz
'x,y,z'
loop_
_atom_site_label
_atom_site_type_symbol
_atom_site_fract_x
_atom_site_fract_y
_atom_site_fract_z
Tb1 Tb 0.070 0.422 0.772
Tb2 Tb 0.219 0.219 0.221
Tb3 Tb 0.422 0.070 0.772
Tb4 Tb 0.578 0.930 0.228
Tb5 Tb 0.781 0.781 0.779
Tb6 Tb 0.930 0.578 0.228
Bi1 Bi 0.500 0.500 0.000
Te1 Te 0.000 0.000 0.500
Te2 Te 0.341 0.659 0.500
Te3 Te 0.659 0.341 0.500
Se1 Se 0.169 0.831 0.000
Se2 Se 0.831 0.169 0.000
```

=====

Entry 2:
Density functional theory data (GGA-PBE) for crystalline BaMnCr2 at its relaxed geometry.

Values from the calculation:
**E above lowest polymorph**: 188 meV per atom
**Energy of formation from the pure elements**: 0.8019 eV/atom
**Total energy**: -0.4985 Ry per atom

Structure (CIF):
```
data_BaMnCr2
_chemical_formula_sum 'Ba1 Mn1 Cr2'
_space_group_name_H-M_alt 'P 1'
_space_group_IT_number 1
_cell_length_a 3.173
_cell_length_b 3.173
_cell_length_c 7.537
_cell_angle_alpha 90.00
_cell_angle_beta 90.00
_cell_angle_gamma 90.00
loop_
_space_group_symop_operation_xyz
'x,y,z'
loop_
_atom_site_label
_atom_site_type_symbol
_atom_site_fract_x
_atom_site_fract_y
_atom_site_fract_z
Ba1 Ba 0.000 0.000 0.000
Mn1 Mn 0.500 0.500 0.639
Cr1 Cr 0.000 0.000 0.507
Cr2 Cr 0.500 0.500 0.369
```

=====

Entry 3:
Density functional theory data (GGA-PBE) for crystalline V4Ru3W at its relaxed geometry.

Values from the calculation:
**Energy of formation from the pure elements**: -0.2374 eV/atom
**Total energy**: -0.7272 Ry per atom

Structure (CIF):
```
data_V4Ru3W
_chemical_formula_sum 'V4 Ru3 W1'
_space_group_name_H-M_alt 'P 1'
_space_group_IT_number 1
_cell_length_a 3.027
_cell_length_b 4.285
_cell_length_c 8.570
_cell_angle_alpha 90.00
_cell_angle_beta 90.00
_cell_angle_gamma 90.00
loop_
_space_group_symop_operation_xyz
'x,y,z'
loop_
_atom_site_label
_atom_site_type_symbol
_atom_site_fract_x
_atom_site_fract_y
_atom_site_fract_z
V1 V 0.000 0.000 0.000
V2 V 0.000 0.000 0.500
V3 V 0.000 0.500 0.247
V4 V 0.000 0.500 0.753
Ru1 Ru 0.500 0.000 0.256
Ru2 Ru 0.500 0.000 0.744
Ru3 Ru 0.500 0.500 0.500
W1 W 0.500 0.500 0.000
```